Density functional theory data (GGA-PBE) for a relaxed PaSi3Ni3 crystal.

As for the formation energy from raw total energies: -1.36 eV/f.u. The spin magnetization comes out at 2.6 Bohr magnetons per cell. The relative energy among the computed polymorphs is 77 meV/atom. The calculated volume comes out at 116.6 Å³/f.u.

The structure belongs to space group Pm-3n (No. 223); the cell edges are 6.156, 6.156 and 6.156 Å and the angles 90.00°, 90.00° and 90.00°. The distinct sites, in fractional coordinates, are Pa at (0.000, 0.000, 0.000), Si at (0.000, 0.250, 0.500) and Ni at (0.000, 0.500, 0.250).